Entry 1:
Computed, not measured: a geometry-optimized MnCu2Br structure at the PBE level of DFT.

Summary:
E_form (uncorrected): 0.2443 eV/atom
energy relative to the lowest polymorph listed for this composition: 70.5 meV/atom
DOS(E_F): 1.14 states/eV per cell

abc: 6.389 6.389 6.389
angles: 35.84 35.84 35.84
Each line ends with the local moment (μB).
Element x y z (fractional)
Cu1 0.950 0.950 0.950  0.01
Cu2 0.259 0.259 0.259  0.06
Br1 0.768 0.768 0.768  0.04
Mn1 0.524 0.524 0.524  3.99

***

Entry 2:
Computed, not measured: a geometry-optimized Mn3CuBr structure at the PBE level of DFT.

Summary:
E_form (uncorrected): 0.7698 eV/atom
energy relative to the lowest polymorph listed for this composition: 0.0 meV/atom
DOS(E_F): 1.51 states/eV per cell

abc: 4.728 4.728 4.728
angles: 90.00 90.00 90.00
Each line ends with the local moment (μB).
Element x y z (fractional)
Cu1 0.000 0.000 0.000  0.20
Mn1 0.000 0.000 0.500  4.20
Mn2 0.500 0.000 0.000  3.81
Mn3 0.000 0.500 0.000  4.03
Br1 0.500 0.500 0.500  0.11

***

Entry 3:
Computed, not measured: a geometry-optimized MnCuBr2 structure at the PBE level of DFT.

Summary:
E_form (uncorrected): 0.1492 eV/atom
energy relative to the lowest polymorph listed for this composition: 296.0 meV/atom
DOS(E_F): 1.89 states/eV per cell

abc: 3.720 6.407 3.740
angles: 90.00 90.00 90.00
Each line ends with the local moment (μB).
Element x y z (fractional)
Br1 0.500 0.500 0.000  0.06
Br2 0.000 0.000 0.000  0.02
Cu1 0.500 0.000 0.500  0.01
Mn1 0.000 0.500 0.500  4.06

***

Question: Which of these has the highest E_form (uncorrected)?
Answer: Mn3CuBr